KCaGdFeO6: relaxed, GGA+U.

Cell: 8.1812 8.1812 8.1812 Å, 90.00 90.00 90.00°
Space group F-43m (No. 216)
Inequivalent atoms, fractional coordinates:
K: 0.0000 0.0000 0.0000
Ca: 0.0000 0.0000 0.5000
Gd: 0.2500 0.2500 0.7500
Fe: 0.2500 0.2500 0.2500
O: 0.0210 0.2500 0.2500

Computed properties:
spin magnetization = 44.2 μB per cell
E_tot = -7.091 eV per atom